[1]
Here is a relaxed NdInGePt2 crystal from OQMD via LeMat-Bulk. Energies are from PBE-GGA.

Cell: 4.3462 4.3462 11.0056 Å, 90.00 90.00 90.00°
Positions (direct):
Nd1 0.5000 0.0000 0.2344
Nd2 0.0000 0.5000 0.7656
In1 0.0000 0.0000 0.5000
In2 0.5000 0.5000 0.5000
Pt1 0.0000 0.5000 0.3420
Pt2 0.0000 0.0000 0.0000
Pt3 0.5000 0.0000 0.6580
Pt4 0.5000 0.5000 0.0000
Ge1 0.5000 0.0000 0.8782
Ge2 0.0000 0.5000 0.1218

Symmetry   No. 129

---

[2]
Here is a relaxed InNiGe2 crystal from OQMD via LeMat-Bulk. Energies are from PBE-GGA.

Cell: 4.6720 4.6720 4.6720 Å, 60.00 60.00 60.00°
Positions (direct):
Ge1 0.2500 0.2500 0.2500
Ge2 0.0000 0.0000 0.0000
In1 0.5000 0.5000 0.5000
Ni1 0.7500 0.7500 0.7500

Symmetry   No. 216

---

[3]
Here is a relaxed InNi3Ge5 crystal from OQMD via LeMat-Bulk. Energies are from PBE-GGA.

Cell: 4.9108 4.9108 7.2544 Å, 90.00 90.00 120.00°
Positions (direct):
Ge1 0.3333 0.6667 0.7888
Ge2 0.6667 0.3333 0.2112
Ge3 0.3333 0.6667 0.2112
Ge4 0.0000 0.0000 0.5000
Ge5 0.6667 0.3333 0.7888
Ni1 0.5000 0.5000 0.5000
Ni2 0.0000 0.5000 0.5000
Ni3 0.5000 0.0000 0.5000
In1 0.0000 0.0000 0.0000

Symmetry   No. 191

---

Number 1: M_tot 0.0 μB/f.u., raw total energy -57.09 eV/cell. Number 2: M_tot 0.0 μB/f.u., raw total energy -16.38 eV/cell. Number 3: M_tot 0.0 μB/f.u., raw total energy -43.00 eV/cell.